(1)
4
Lattice="2.5983 0.0188 0.0000 -0.8176 2.4664 0.0000 0.0000 0.0000 8.3343" Properties=species:S:1:pos:R:3 comment="MnZnTc2, single point on PBEsol structure, DFT SCAN" spacegroup="Cmm2 (35)" dft_energy_ev_per_fu=-101.67 delta_e_f_ev_per_atom=0.05 pbc="T T T"
Mn 0.8903 1.2426 2.0424
Tc 0.0000 0.0000 0.1073
Tc 0.8903 1.2426 6.2699
Zn 0.0000 0.0000 4.0817



(2)
4
Lattice="-0.9766 -2.2804 -1.3019 1.2858 -0.9607 -2.2962 5.4003 -6.2857 3.9447" Properties=species:S:1:pos:R:3 comment="ZrMnTc2, single point on PBEsol structure, DFT SCAN" spacegroup="R3m (160)" dft_energy_ev_per_fu=-118.47 delta_e_f_ev_per_atom=0.15 pbc="T T T"
Mn 1.3275 -2.2835 -0.0104
Tc 5.3985 -6.2839 3.9430
Tc 4.4158 -7.2764 0.3897
Zr 2.8228 -4.7320 0.1423



(3)
4
Lattice="-0.3210 -3.1138 -0.6980 2.9501 -0.5570 1.1282 -2.4267 -1.0555 5.8245" Properties=species:S:1:pos:R:3 comment="Zr2MnTc, single point on PBEsol structure, DFT SCAN" spacegroup="P4/mmm (123)" dft_energy_ev_per_fu=-115.82 delta_e_f_ev_per_atom=-0.28 pbc="T T T"
Mn 1.3146 -1.8354 0.2151
Tc 0.1012 -2.3632 3.1273
Zr -1.8265 -0.7945 4.3839
Zr -0.6002 -0.2611 1.4406